A plane-wave DFT calculation with GGA-PBE was carried out for crystalline TbTm2Hg5 at its relaxed geometry.

Computed properties:
**Space-group type**: I4/mmm, No. 139
**DFT total energy**: -2.3012 eV/atom
**Calculated formation energy**: -0.4159 eV per atom

Cell and atoms, written as POSCAR:
```
TbTm2Hg5
1.0
-0.1641 -3.9948 -3.2886
-0.1056 -3.2870 3.9981
-7.1125 3.9125 -0.3230
Tb Tm Hg
1 2 5
Direct
0.0000 0.0000 0.0000 Tb
0.7362 0.7362 0.4724 Tm
0.2638 0.2638 0.5276 Tm
0.5000 0.5000 0.0000 Hg
0.8726 0.3726 0.7453 Hg
0.3726 0.8726 0.7453 Hg
0.1274 0.6274 0.2547 Hg
0.6274 0.1274 0.2547 Hg
```